Compound: Tb3ZrS6
Source: the Alexandria database
Functional: GGA-PBE
Structure: relaxed

The structure in CIF format:
```
data_Tb3ZrS6
_cell_length_a 11.4866
_cell_length_b 11.4866
_cell_length_c 13.0804
_cell_angle_alpha 90.00
_cell_angle_beta 90.00
_cell_angle_gamma 120.00
_symmetry_space_group_name_H-M 'R -3'
_symmetry_Int_Tables_number 148
_symmetry_space_group_name_Hall '-R 3'
loop_
_atom_site_label
_atom_site_type_symbol
_atom_site_fract_x
_atom_site_fract_y
_atom_site_fract_z
_atom_site_occupancy
Tb1 Tb 0.0508 0.7790 0.1912 1
Zr1 Zr 0.0000 0.0000 0.0000 1
Zr2 Zr 0.0000 0.0000 0.5000 1
S1 S 0.0266 0.8222 0.3946 1
S2 S 0.0316 0.8361 0.8846 1
```

Properties
VASP energy	-6.60	eV per atom
ΔE_f (raw)	-1.88	eV/atom

Compound: PrSm5In3
Source: the Alexandria database
Functional: GGA-PBE
Structure: relaxed

The structure in CIF format:
```
data_PrSm5In3
_cell_length_a 8.744
_cell_length_b 8.744
_cell_length_c 14.332
_cell_angle_alpha 90.00
_cell_angle_beta 90.00
_cell_angle_gamma 90.00
_symmetry_space_group_name_H-M 'I 4/m c m'
_symmetry_Int_Tables_number 140
_symmetry_space_group_name_Hall '-I 4 2c'
loop_
_atom_site_label
_atom_site_type_symbol
_atom_site_fract_x
_atom_site_fract_y
_atom_site_fract_z
_atom_site_occupancy
Pr1 Pr 0.000 0.500 0.250 1
Sm1 Sm 0.000 0.000 0.000 1
Sm2 Sm 0.205 0.295 0.134 1
In1 In 0.000 0.000 0.250 1
In2 In 0.110 0.390 0.500 1
```

Properties
energy relative to the lowest polymorph listed for this composition	0.207	eV per atom
VASP energy	-4.20	eV per atom
E_form	-1.2	eV per formula unit

Please write out number 2 again, unchanged.
Compound: PrSm5In3
Source: the Alexandria database
Functional: GGA-PBE
Structure: relaxed

The structure in CIF format:
```
data_PrSm5In3
_cell_length_a 8.744
_cell_length_b 8.744
_cell_length_c 14.332
_cell_angle_alpha 90.00
_cell_angle_beta 90.00
_cell_angle_gamma 90.00
_symmetry_space_group_name_H-M 'I 4/m c m'
_symmetry_Int_Tables_number 140
_symmetry_space_group_name_Hall '-I 4 2c'
loop_
_atom_site_label
_atom_site_type_symbol
_atom_site_fract_x
_atom_site_fract_y
_atom_site_fract_z
_atom_site_occupancy
Pr1 Pr 0.000 0.500 0.250 1
Sm1 Sm 0.000 0.000 0.000 1
Sm2 Sm 0.205 0.295 0.134 1
In1 In 0.000 0.000 0.250 1
In2 In 0.110 0.390 0.500 1
```

Properties
energy relative to the lowest polymorph listed for this composition	0.207	eV per atom
VASP energy	-4.20	eV per atom
E_form	-1.2	eV per formula unit